(1)
A relaxed OsRu5 crystal. Source: Alexandria, functional GGA-PBE.

Summary:
- crystal system = orthorhombic
- SG = Pmmn (59)
- excess energy over the best structure of this formula in the dataset (meV per atom) = 4
- formation energy (eV per formula unit) = -0.059
- total magnetization (Bohr magnetons per cell) = 0.000

abc: 4.318 8.188 4.731
angles: 90.00 90.00 90.00
Positions (direct):
1 Os 0.250 0.250 0.082
2 Os 0.750 0.750 0.918
3 Ru 0.250 0.084 0.581
4 Ru 0.250 0.416 0.581
5 Ru 0.250 0.583 0.084
6 Ru 0.250 0.750 0.584
7 Ru 0.250 0.917 0.084
8 Ru 0.750 0.083 0.916
9 Ru 0.750 0.250 0.416
10 Ru 0.750 0.417 0.916
11 Ru 0.750 0.584 0.419
12 Ru 0.750 0.916 0.419

***

(2)
A relaxed Os3Ru crystal. Source: Alexandria, functional GGA-PBE.

Summary:
- crystal system = monoclinic
- SG = C2/m (12)
- formation energy (eV per formula unit) = 0.478
- total magnetization (Bohr magnetons per cell) = 0.000

abc: 4.715 4.715 4.706
angles: 99.64 99.64 33.56
Positions (direct):
1 Os 0.000 0.000 0.000
2 Os 0.251 0.251 0.751
3 Os 0.749 0.749 0.249
4 Ru 0.500 0.500 0.500

***

(3)
A relaxed Os5Ru2 crystal. Source: Alexandria, functional GGA-PBE.

Summary:
- crystal system = monoclinic
- SG = C2/c (15)
- formation energy (eV per formula unit) = -0.047
- total magnetization (Bohr magnetons per cell) = 0.000

abc: 6.438 6.438 6.995
angles: 94.82 94.82 43.37
Positions (direct):
1 Os 0.023 0.690 0.035
2 Os 0.119 0.453 0.678
3 Os 0.166 0.834 0.750
4 Os 0.310 0.977 0.465
5 Os 0.453 0.119 0.178
6 Os 0.547 0.881 0.822
7 Os 0.690 0.023 0.535
8 Os 0.834 0.166 0.250
9 Os 0.881 0.547 0.322
10 Os 0.977 0.310 0.965
11 Ru 0.262 0.595 0.392
12 Ru 0.405 0.738 0.108
13 Ru 0.595 0.262 0.892
14 Ru 0.738 0.405 0.608

***

(4)
A relaxed Os3Ru crystal. Source: Alexandria, functional GGA-PBE.

Summary:
- crystal system = hexagonal
- SG = P-6m2 (187)
- formation energy (eV per formula unit) = 0.042
- total magnetization (Bohr magnetons per cell) = 0.000

abc: 2.753 2.753 8.649
angles: 90.00 90.00 120.00
Positions (direct):
1 Os 0.000 0.000 0.000
2 Os 0.667 0.333 0.250
3 Os 0.667 0.333 0.750
4 Ru 0.000 0.000 0.500

***

(5)
A relaxed Os3Ru5 crystal. Source: Alexandria, functional GGA-PBE.

Summary:
- crystal system = orthorhombic
- SG = Cmcm (63)
- excess energy over the best structure of this formula in the dataset (meV per atom) = 588
- formation energy (eV per formula unit) = 4.641
- total magnetization (Bohr magnetons per cell) = 2.856

abc: 7.566 7.566 4.816
angles: 90.00 90.00 59.93
Positions (direct):
1 Os 0.088 0.500 0.250
2 Os 0.088 0.912 0.750
3 Os 0.500 0.088 0.750
4 Os 0.500 0.912 0.250
5 Os 0.912 0.088 0.250
6 Os 0.912 0.500 0.750
7 Ru 0.167 0.167 0.000
8 Ru 0.167 0.167 0.500
9 Ru 0.295 0.500 0.750
10 Ru 0.295 0.705 0.250
11 Ru 0.500 0.295 0.250
12 Ru 0.500 0.705 0.750
13 Ru 0.705 0.295 0.750
14 Ru 0.705 0.500 0.250
15 Ru 0.833 0.833 0.000
16 Ru 0.833 0.833 0.500

***

(6)
A relaxed OsRuS2 crystal. Source: Alexandria, functional GGA-PBE.

Summary:
- crystal system = cubic
- SG = Fm-3m (225)
- E_form (uncorrected) (eV per formula unit) = 1.82
- excess energy over the best structure of this formula in the dataset (meV per atom) = 402
- total magnetization (Bohr magnetons per cell) = 0.000

abc: 4.234 4.234 4.234
angles: 60.00 60.00 60.00
Positions (direct):
1 Os 0.000 0.000 0.000
2 Ru 0.500 0.500 0.500
3 S 0.250 0.250 0.250
4 S 0.750 0.750 0.750

***

(7)
A relaxed Os3RuS crystal. Source: Alexandria, functional GGA-PBE.

Summary:
- crystal system = cubic
- SG = Pm-3m (221)
- E_form (uncorrected) (eV per formula unit) = 13.28
- excess energy over the best structure of this formula in the dataset (meV per atom) = 1342
- total magnetization (Bohr magnetons per cell) = 2.780

abc: 4.681 4.681 4.681
angles: 90.00 90.00 90.00
Positions (direct):
1 Os 0.000 0.000 0.500
2 Os 0.000 0.500 0.000
3 Os 0.500 0.000 0.000
4 Ru 0.000 0.000 0.000
5 S 0.500 0.500 0.500

***

(8)
A relaxed OsRuS2 crystal. Source: Alexandria, functional GGA-PBE.

Summary:
- crystal system = trigonal
- SG = R-3m (166)
- E_form (uncorrected) (eV per formula unit) = 0.76
- excess energy over the best structure of this formula in the dataset (meV per atom) = 135
- total magnetization (Bohr magnetons per cell) = 0.000

abc: 7.899 7.899 7.899
angles: 22.04 22.04 22.04
Positions (direct):
1 Os 0.000 0.000 0.000
2 Ru 0.500 0.500 0.500
3 S 0.096 0.096 0.096
4 S 0.904 0.904 0.904

***

(9)
A relaxed Os2RuS crystal. Source: Alexandria, functional GGA-PBE.

Summary:
- crystal system = tetragonal
- SG = I-42d (122)
- E_form (uncorrected) (eV per formula unit) = 3.29
- total magnetization (Bohr magnetons per cell) = 0.000

abc: 6.540 6.540 6.540
angles: 131.45 131.45 71.10
Positions (direct):
1 Os 0.100 0.625 0.975
2 Os 0.375 0.350 0.475
3 Os 0.650 0.125 0.025
4 Os 0.875 0.900 0.525
5 Ru 0.250 0.750 0.500
6 Ru 0.500 0.500 0.000
7 S 0.000 0.000 0.000
8 S 0.750 0.250 0.500

***

(10)
A relaxed OsRuS3 crystal. Source: Alexandria, functional GGA-PBE.

Summary:
- crystal system = cubic
- SG = Pm-3m (221)
- E_form (uncorrected) (eV per formula unit) = 5.64
- total magnetization (Bohr magnetons per cell) = 2.222

abc: 4.596 4.596 4.596
angles: 90.00 90.00 90.00
Positions (direct):
1 Os 0.000 0.000 0.000
2 Ru 0.500 0.500 0.500
3 S 0.000 0.000 0.500
4 S 0.000 0.500 0.000
5 S 0.500 0.000 0.000

***

(11)
A relaxed OsRuS2 crystal. Source: Alexandria, functional GGA-PBE.

Summary:
- crystal system = tetragonal
- SG = I-42d (122)
- E_form (uncorrected) (eV per formula unit) = 0.22
- excess energy over the best structure of this formula in the dataset (meV per atom) = 0
- total magnetization (Bohr magnetons per cell) = 0.000

abc: 6.384 6.384 6.384
angles: 131.90 131.90 70.38
Positions (direct):
1 Os 0.000 0.000 0.000
2 Os 0.750 0.250 0.500
3 Ru 0.250 0.750 0.500
4 Ru 0.500 0.500 0.000
5 S 0.123 0.625 0.998
6 S 0.375 0.373 0.498
7 S 0.627 0.125 0.002
8 S 0.875 0.877 0.502

***

(12)
A relaxed Os3RuS crystal. Source: Alexandria, functional GGA-PBE.

Summary:
- crystal system = cubic
- SG = Pm-3m (221)
- E_form (uncorrected) (eV per formula unit) = 6.57
- excess energy over the best structure of this formula in the dataset (meV per atom) = 0
- total magnetization (Bohr magnetons per cell) = 0.000

abc: 4.295 4.295 4.295
angles: 90.00 90.00 90.00
Positions (direct):
1 Os 0.000 0.000 0.500
2 Os 0.000 0.500 0.000
3 Os 0.500 0.000 0.000
4 Ru 0.500 0.500 0.500
5 S 0.000 0.000 0.000